TaV3Se: relaxed, PBE.

## Properties
- excess energy over the best structure of this formula in the dataset (kJ/mol of formula units) = 0
- symmetry = Pm-3m

Cell lengths 4.4263, 4.4263, 4.4263 Å; angles 90.00, 90.00, 90.00 degrees
With the nearest neighbours (Å) after each atom.
Sites, in units of the cell vectors:
Se1 0.0000 0.0000 0.0000  6 V 2.21
V1 0.5000 0.0000 0.0000  2 Se 2.21
Ta1 0.5000 0.5000 0.5000  12 V 3.13
V2 0.0000 0.5000 0.0000  2 Se 2.21
V3 0.0000 0.0000 0.5000  2 Se 2.21

=====

TaV2Se6: relaxed, PBE.

## Properties
- excess energy over the best structure of this formula in the dataset (kJ/mol of formula units) = 0
- symmetry = C2/m

Cell lengths 3.4163, 7.9886, 8.6793 Å; angles 114.49, 101.35, 90.00 degrees
With the nearest neighbours (Å) after each atom.
Sites, in units of the cell vectors:
Se1 0.0077 0.2496 0.0154  2 Ta 2.59, 1 V 2.59
Se2 0.3340 0.8953 0.6680  2 V 2.53, 1 Ta 2.59
Se3 0.9923 0.7504 0.9846  2 Ta 2.59, 1 V 2.59
Ta1 0.5000 0.0000 0.0000  6 Se 2.59
Se4 0.6660 0.1047 0.3320  2 V 2.53, 1 Ta 2.59
V1 0.8264 0.6552 0.6529  6 Se 2.45-2.59
Se5 0.3297 0.4285 0.6593  3 V 2.45-2.51
Se6 0.6703 0.5715 0.3407  3 V 2.45-2.51
V2 0.1736 0.3448 0.3471  6 Se 2.45-2.59

=====

Ta2VSe6: relaxed, PBE.

## Properties
- excess energy over the best structure of this formula in the dataset (kJ/mol of formula units) = 212
- symmetry = P2_1/c

Cell lengths 6.0893, 6.2931, 10.6488 Å; angles 90.00, 90.41, 90.00 degrees
With the nearest neighbours (Å) after each atom.
Sites, in units of the cell vectors:
Se1 0.1590 0.3262 0.0909  1 V 2.54, 2 Ta 2.57-2.68
Se2 0.8187 0.9461 0.2822  2 Ta 2.50-2.76, 1 V 2.58
Se3 0.6590 0.1738 0.5909  1 V 2.54, 2 Ta 2.57-2.68
Se4 0.8108 0.6623 0.5878  2 Ta 2.54-2.68, 1 V 2.60
Se5 0.3108 0.8377 0.0878  2 Ta 2.54-2.68, 1 V 2.60
V1 0.0000 0.0000 0.5000  6 Se 2.54-2.60
Se6 0.1892 0.3377 0.4122  2 Ta 2.54-2.68, 1 V 2.60
Ta1 0.9188 0.3534 0.7497  6 Se 2.50-2.76
Se7 0.6892 0.1623 0.9122  2 Ta 2.54-2.68, 1 V 2.60
Ta2 0.0812 0.6466 0.2503  6 Se 2.50-2.76
Se8 0.3187 0.5539 0.7822  2 Ta 2.50-2.76, 1 V 2.58
Se9 0.1813 0.0539 0.7178  2 Ta 2.50-2.76, 1 V 2.58
Ta3 0.5812 0.8534 0.7503  6 Se 2.50-2.76
Se10 0.6813 0.4461 0.2178  2 Ta 2.50-2.76, 1 V 2.58
Se11 0.8410 0.6738 0.9091  1 V 2.54, 2 Ta 2.57-2.68
Se12 0.3410 0.8262 0.4091  1 V 2.54, 2 Ta 2.57-2.68
Ta4 0.4188 0.1466 0.2497  6 Se 2.50-2.76
V2 0.5000 0.5000 0.0000  6 Se 2.54-2.60

=====

no.,VASP energy (eV per formula unit)
1,-39.47
2,-57.64
3,-58.52